Entry 1:
The following is a DFT calculation (PBE) of a relaxed Nd3Sm4DyS8 crystal.

As for the magnetization: 0.000 μB per formula unit. The uncorrected energy is -6.4384 eV per atom. The value obtained for the energy relative to the elements, uncorrected is -2.0133 eV per atom. As for the density of states at the Fermi level: 8.90 states/eV/f.u. Its volume is 22.987 A^3/atom.

Cell: 8.0385 8.0385 8.0385 Å, 60.06 60.06 60.06°
With the nearest neighbours (Å) after each atom.
Fractional positions:
Nd: 0.0000 0.5000 0.5000  6 S 2.87
Nd: 0.5000 0.0000 0.5000  6 S 2.87
Nd: 0.5000 0.5000 0.0000  6 S 2.87
Sm: 0.0000 0.0000 0.5000  6 S 2.82
Sm: 0.0000 0.5000 0.0000  6 S 2.82
Sm: 0.5000 0.0000 0.0000  6 S 2.82
Sm: 0.5000 0.5000 0.5000  6 S 2.89
Dy: 0.0000 0.0000 0.0000  6 S 2.80
S: 0.2423 0.7539 0.7539  1 Dy 2.80, 3 Sm 2.82-2.89, 2 Nd 2.87
S: 0.2461 0.2461 0.7577  1 Dy 2.80, 3 Sm 2.82-2.89, 2 Nd 2.87
S: 0.2461 0.7577 0.2461  1 Dy 2.80, 3 Sm 2.82-2.89, 2 Nd 2.87
S: 0.2480 0.2480 0.2480  3 Sm 2.82, 3 Nd 2.87
S: 0.7520 0.7520 0.7520  3 Sm 2.82, 3 Nd 2.87
S: 0.7539 0.2423 0.7539  1 Dy 2.80, 3 Sm 2.82-2.89, 2 Nd 2.87
S: 0.7539 0.7539 0.2423  1 Dy 2.80, 3 Sm 2.82-2.89, 2 Nd 2.87
S: 0.7577 0.2461 0.2461  1 Dy 2.80, 3 Sm 2.82-2.89, 2 Nd 2.87

Entry 2:
The following is a DFT calculation (PBE) of a relaxed NdSm2Dy3S6 crystal.

As for the magnetization: 0.000 μB per formula unit. The uncorrected energy is -6.4126 eV per atom. The value obtained for the energy relative to the elements, uncorrected is -2.0145 eV per atom. As for the density of states at the Fermi level: 5.25 states/eV/f.u. Its volume is 22.070 A^3/atom.

Cell: 6.8548 6.8548 6.9088 Å, 99.49 99.49 120.18°
With the nearest neighbours (Å) after each atom.
Fractional positions:
Nd: 0.0000 0.0000 0.0000  6 S 2.86-2.87
Sm: 0.3335 0.6665 0.0000  6 S 2.84-2.85
Sm: 0.6665 0.3335 0.0000  6 S 2.84-2.85
Dy: 0.1654 0.8346 0.5000  6 S 2.75-2.77
Dy: 0.5000 0.5000 0.5000  6 S 2.74-2.77
Dy: 0.8346 0.1654 0.5000  6 S 2.75-2.77
S: 0.0875 0.4238 0.2621  3 Dy 2.75-2.77, 2 Sm 2.84-2.85, 1 Nd 2.87
S: 0.2492 0.2492 0.7389  3 Dy 2.74-2.76, 2 Sm 2.84, 1 Nd 2.86
S: 0.4238 0.0875 0.2621  3 Dy 2.75-2.77, 2 Sm 2.84-2.85, 1 Nd 2.87
S: 0.5762 0.9125 0.7379  3 Dy 2.75-2.77, 2 Sm 2.84-2.85, 1 Nd 2.87
S: 0.7508 0.7508 0.2611  3 Dy 2.74-2.76, 2 Sm 2.84, 1 Nd 2.86
S: 0.9125 0.5762 0.7379  3 Dy 2.75-2.77, 2 Sm 2.84-2.85, 1 Nd 2.87

Entry 3:
The following is a DFT calculation (PBE) of a relaxed Nd2Sm3DyS6 crystal.

As for the magnetization: 0.000 μB per formula unit. The uncorrected energy is -6.4426 eV per atom. The value obtained for the energy relative to the elements, uncorrected is -2.0210 eV per atom. As for the density of states at the Fermi level: 4.97 states/eV/f.u. Its volume is 22.828 A^3/atom.

Cell: 6.9597 6.9597 6.9408 Å, 99.59 99.59 120.17°
With the nearest neighbours (Å) after each atom.
Fractional positions:
Nd: 0.1670 0.8330 0.0000  6 S 2.86-2.88
Nd: 0.8330 0.1670 0.0000  6 S 2.86-2.88
Sm: 0.0000 0.0000 0.5000  6 S 2.82-2.88
Sm: 0.3293 0.6707 0.5000  6 S 2.81-2.86
Sm: 0.6707 0.3293 0.5000  6 S 2.81-2.86
Dy: 0.5000 0.5000 0.0000  6 S 2.78-2.79
S: 0.0926 0.4171 0.7510  1 Dy 2.78, 3 Sm 2.81-2.86, 2 Nd 2.86
S: 0.2599 0.2599 0.2524  1 Dy 2.79, 3 Sm 2.84-2.88, 2 Nd 2.88
S: 0.4171 0.0926 0.7510  1 Dy 2.78, 3 Sm 2.81-2.86, 2 Nd 2.86
S: 0.5829 0.9074 0.2490  1 Dy 2.78, 3 Sm 2.81-2.86, 2 Nd 2.86
S: 0.7401 0.7401 0.7476  1 Dy 2.79, 3 Sm 2.84-2.88, 2 Nd 2.88
S: 0.9074 0.5829 0.2490  1 Dy 2.78, 3 Sm 2.81-2.86, 2 Nd 2.86